Compound: ZrSiCl2
Source: the Alexandria database
Functional: GGA-PBEsol
Structure: relaxed

Calculated total energy in eV/atom: -4.836
Energy above the most stable polymorph in this dataset in meV/atom: 372
Density of states at the Fermi level in states/eV/atom: 0.7390
M_tot in Bohr magnetons per cell: 0.001

Cell lengths 5.8329, 8.2681, 3.0443 Å; angles 90.00, 90.00, 90.00 degrees
With the nearest neighbours (Å) after each atom.
Space group Cmmm (No. 65)
One atom of each set of equivalent atoms:
1 Zr 0.0000 0.0000 0.0000 (multiplicity 2)  2 Si 2.92, 8 Cl 2.95, 2 Zr 3.04
2 Si 0.0000 0.5000 0.0000 (multiplicity 2)  2 Zr 2.92, 8 Cl 2.95, 2 Si 3.04
3 Cl 0.2500 0.2500 0.5000 (multiplicity 4)  4 Cl 2.92-3.04, 4 Zr 2.95, 4 Si 2.95